Record 1
First-principles (PBE) data for Na2Li4Br2N after structural relaxation, as listed in the Alexandria database.

```
Na2Li4Br2N
1.0
-1.1640 2.5681 -5.9291
-4.7377 -2.3650 3.8813
1.6203 3.6259 5.2280
Li Na Br N
4 2 2 1
direct
0.0000 0.7848 0.2152
0.5697 0.7848 0.7848
0.4303 0.2152 0.2152
0.0000 0.2152 0.7848
0.0000 0.7583 0.7583
0.0000 0.2417 0.2417
0.5000 0.2500 0.7500
0.5000 0.7500 0.2500
0.0000 0.0000 0.0000
```

Output
Raw formation energy   -638 meV per atom



Record 2
First-principles (PBE) data for Hf7AlTe2 after structural relaxation, as listed in the Alexandria database.

```
Hf7AlTe2
1.0
4.7275 0.0000 0.0000
0.0000 8.1997 -0.2931
0.0000 -3.9609 7.1855
Hf Al Te
7 1 2
direct
0.5000 0.7152 0.9315
0.0000 0.7982 0.2018
0.5000 0.2848 0.0685
0.0000 0.2018 0.7982
0.5000 0.0685 0.2848
0.5000 0.9315 0.7152
0.5000 0.5000 0.5000
0.0000 0.0000 0.0000
0.5000 0.3039 0.6961
0.5000 0.6961 0.3039
```

Output
Raw formation energy   410 meV per atom



Looking at magnetization for the records above, in order, we have 1.0; 0.3 Bohr magnetons per cell.